Here is PmGa2Pd3 after structural relaxation from Alexandria via LeMat-Bulk. Energies are from GGA-PBE. Values from VASP.

```
&SYSTEM
  ibrav = 0, nat = 6, ntyp = 3
/
ATOMIC_SPECIES
Pm 145.00 Pm.upf
Ga 69.72 Ga.upf
Pd 106.42 Pd.upf
CELL_PARAMETERS angstrom
-4.050 2.498 -2.945
-1.140 -2.204 5.015
0.900 3.529 1.756
ATOMIC_POSITIONS angstrom
Pm 0.450 1.765 0.878
Ga -2.630 2.695 0.586
Ga -1.660 1.128 3.240
Pd -2.025 1.249 -1.472
Pd -2.595 0.147 1.035
Pd -0.570 -1.102 2.508
```

Calculated values
Space group: P6/mmm (191)
DFT formation energy, eV per formula unit: -4.69
Offset from the most stable computed form, meV per atom: 6